# 1
The following is a DFT calculation (PBE) of Y3ThSc2 after structural relaxation.

```
12
Lattice="5.998 0.000 0.000 -0.950 5.939 0.000 -2.877 -0.515 9.983" Properties=species:S:1:pos:R:3 pbc="T T T"
Y 0.016 0.557 4.572
Y 0.066 3.582 2.922
Y -1.819 3.276 9.536
Y 3.989 2.148 0.448
Y 2.105 1.842 7.062
Y 2.154 4.868 5.411
Th -0.902 0.300 7.905
Th 3.072 5.124 2.078
Sc 1.021 0.652 1.227
Sc -0.889 3.395 6.287
Sc 3.059 2.030 3.696
Sc 1.149 4.773 8.756
```

Computed properties:
Calculated volume: 356 Å³ per cell
E_form: 0.05 eV per atom
Crystal system: triclinic
Excess energy over the best structure of this formula in the dataset: 0.0000 eV/atom


# 2
The following is a DFT calculation (PBE) of Y2Th4Sc after structural relaxation.

```
7
Lattice="1.700 -13.135 0.000 1.700 13.135 0.000 0.000 0.000 5.649" Properties=species:S:1:pos:R:3 pbc="T T T"
Y 1.700 8.163 0.000
Y 1.700 -8.163 0.000
Th 1.700 10.134 2.824
Th 1.700 1.917 0.000
Th 1.700 -1.917 0.000
Th 1.700 -10.134 2.824
Sc 1.700 0.000 2.824
```

Computed properties:
Calculated volume: 252 Å³ per cell
E_form: 0.41 eV per atom
Crystal system: orthorhombic


# 3
The following is a DFT calculation (PBE) of Y2ThSc6 after structural relaxation.

```
9
Lattice="9.192 0.000 0.000 -4.596 7.960 0.000 0.000 0.000 3.337" Properties=species:S:1:pos:R:3 pbc="T T T"
Y 0.000 5.307 0.000
Y 4.596 2.653 0.000
Th 0.000 0.000 1.669
Sc -1.445 2.503 0.000
Sc -2.968 5.141 1.669
Sc 2.890 0.000 0.000
Sc 1.627 2.819 1.669
Sc 5.937 0.000 1.669
Sc 3.151 5.457 0.000
```

Computed properties:
Calculated volume: 244 Å³ per cell
E_form: 0.09 eV per atom
Crystal system: hexagonal
Excess energy over the best structure of this formula in the dataset: 0.0576 eV/atom


# 4
The following is a DFT calculation (PBE) of YTh3Sc6 after structural relaxation.

```
20
Lattice="4.695 -9.822 0.000 4.695 9.822 0.000 0.000 0.000 6.048" Properties=species:S:1:pos:R:3 pbc="T T T"
Y 4.695 6.716 3.024
Y 4.695 -6.716 0.000
Th 1.696 2.397 2.920
Th 1.696 -2.397 5.944
Th 4.695 1.383 3.520
Th 4.695 -1.383 0.496
Th 7.694 2.397 2.920
Th 7.694 -2.397 5.944
Sc 4.695 9.782 1.478
Sc 3.080 4.364 4.904
Sc 2.904 1.288 0.143
Sc 4.695 3.823 1.609
Sc 2.904 -1.288 3.167
Sc 6.309 4.364 4.904
Sc 3.080 -4.364 1.880
Sc 6.486 1.288 0.143
Sc 4.695 -3.823 4.633
Sc 6.486 -1.288 3.167
Sc 6.309 -4.364 1.880
Sc 4.695 -9.782 4.502
```

Computed properties:
Calculated volume: 558 Å³ per cell
E_form: 0.15 eV per atom
Crystal system: orthorhombic
Excess energy over the best structure of this formula in the dataset: 0.0000 eV/atom


# 5
The following is a DFT calculation (PBE) of YTh6Sc12 after structural relaxation.

```
19
Lattice="6.963 4.020 3.434 -6.963 4.020 3.434 0.000 -8.040 3.434" Properties=species:S:1:pos:R:3 pbc="T T T"
Y 0.000 0.000 0.000
Th -2.740 -1.582 5.679
Th 0.000 -3.164 4.623
Th -2.740 1.582 4.623
Th 2.740 -1.582 5.679
Th 0.000 3.164 5.679
Th 2.740 1.582 4.623
Sc -1.634 -0.944 2.679
Sc -2.724 -4.718 5.151
Sc -5.448 0.000 5.151
Sc 1.634 -0.944 2.679
Sc 0.000 1.887 2.679
Sc 2.724 -4.718 5.151
Sc -2.724 4.718 5.151
Sc 0.000 -1.887 7.624
Sc -1.634 0.944 7.624
Sc 5.448 0.000 5.151
Sc 2.724 4.718 5.151
Sc 1.634 0.944 7.624
```

Computed properties:
Calculated volume: 577 Å³ per cell
E_form: 0.54 eV per atom
Crystal system: trigonal


# 6
The following is a DFT calculation (PBE) of YThSc after structural relaxation.

```
3
Lattice="5.515 0.000 0.000 -2.757 4.776 0.000 0.000 0.000 3.402" Properties=species:S:1:pos:R:3 pbc="T T T"
Y 0.000 0.000 0.000
Th 2.757 1.592 1.701
Sc 0.000 3.184 1.701
```

Computed properties:
Calculated volume: 90 Å³ per cell
E_form: 0.13 eV per atom
Crystal system: hexagonal
Excess energy over the best structure of this formula in the dataset: 0.0982 eV/atom


# 7
The following is a DFT calculation (PBE) of YTh2Sc4 after structural relaxation.

```
28
Lattice="10.954 0.000 0.000 0.000 21.076 0.000 0.000 0.000 3.384" Properties=species:S:1:pos:R:3 pbc="T T T"
Y 1.368 3.708 0.000
Y 4.110 14.246 0.000
Y 6.845 6.830 0.000
Y 9.587 17.368 0.000
Th 1.258 18.811 1.692
Th 1.295 9.500 0.000
Th 4.183 20.038 0.000
Th 4.219 8.273 1.692
Th 6.735 12.803 1.692
Th 6.772 1.038 0.000
Th 9.660 11.576 0.000
Th 9.696 2.265 1.692
Sc 1.318 6.584 1.692
Sc 1.357 15.721 0.000
Sc 1.424 0.620 0.000
Sc 1.561 12.699 1.692
Sc 3.917 2.161 1.692
Sc 4.053 11.158 0.000
Sc 4.120 5.183 0.000
Sc 4.160 17.122 1.692
Sc 6.795 3.954 1.692
Sc 6.835 15.893 0.000
Sc 6.901 9.918 0.000
Sc 7.038 18.915 1.692
Sc 9.394 8.377 1.692
Sc 9.530 20.456 0.000
Sc 9.597 5.355 0.000
Sc 9.637 14.492 1.692
```

Computed properties:
Calculated volume: 781 Å³ per cell
E_form: 0.07 eV per atom
Crystal system: orthorhombic
Excess energy over the best structure of this formula in the dataset: 0.0000 eV/atom


# 8
The following is a DFT calculation (PBE) of YTh2Sc5 after structural relaxation.

```
8
Lattice="-2.604 4.589 4.925 2.604 -4.589 4.925 2.604 4.589 -4.925" Properties=species:S:1:pos:R:3 pbc="T T T"
Y 0.000 0.000 0.000
Th 2.604 0.000 1.860
Th 0.000 4.589 3.066
Sc 2.604 3.104 -1.674
Sc 0.000 1.485 3.251
Sc 0.000 4.589 0.000
Sc 2.604 3.104 1.674
Sc 0.000 1.485 6.600
```

Computed properties:
Calculated volume: 235 Å³ per cell
E_form: 0.39 eV per atom
Crystal system: orthorhombic


In states/eV per cell, the D(E_F) values for the records above are, in order, 18.754; 9.933; 17.404; 30.899; 33.158; 6.982; 39.990; 12.338.